## YHfPaO6 (GGA-PBE)

Data for a relaxed YHfPaO6 crystal.

Summary:
SG: P-31c, No. 163
Calculated density, Mg/m³: 7.710
Magnetization, μB per formula unit: 0.0
ΔE_f (raw), eV per atom: -3.50

Lattice parameters (Å, degrees): 5.5853 5.5853 9.4776 90.00 90.00 120.00
Sites, in units of the cell vectors:
Y (0.3333, 0.6667, 0.2500)
Y (0.6667, 0.3333, 0.7500)
Hf (0.6667, 0.3333, 0.2500)
Hf (0.3333, 0.6667, 0.7500)
Pa (0.0000, 0.0000, 0.0000)
Pa (0.0000, 0.0000, 0.5000)
O (0.6838, 0.6580, 0.1302)
O (0.9742, 0.3162, 0.1302)
O (0.3162, 0.9742, 0.6302)
O (0.0258, 0.6838, 0.8698)
O (0.3420, 0.3162, 0.3698)
O (0.9742, 0.6580, 0.3698)
O (0.6580, 0.9742, 0.8698)
O (0.6838, 0.0258, 0.3698)
O (0.0258, 0.3420, 0.6302)
O (0.3420, 0.0258, 0.1302)
O (0.6580, 0.6838, 0.6302)
O (0.3162, 0.3420, 0.8698)